1.
Entry from Alexandria: a relaxed structure of AcSn2As2Pd7 (PBE-GGA).

The structure in extended XYZ format:
```
12
Lattice="-3.624 -0.174 -2.187 0.661 -4.081 -0.923 -8.198 -5.873 9.626" Properties=species:S:1:pos:R:3 pbc="T T T"
Ac 0.000 0.000 0.000
Sn -5.402 -5.385 1.661
Sn -5.759 -4.743 4.855
As -8.764 -7.714 5.856
As -2.397 -2.415 0.660
Pd -1.481 -2.128 -1.555
Pd -4.041 -3.331 3.399
Pd -7.119 -6.798 3.117
Pd -4.842 -2.861 0.644
Pd -2.712 -4.803 1.272
Pd -8.448 -5.326 5.244
Pd -6.319 -7.268 5.872
```

Space-group type: C2/m, No. 12
Energy of formation: -0.537 eV/atom

2.
Entry from Alexandria: a relaxed structure of Na2Ta3O8 (PBE-GGA).

The structure in extended XYZ format:
```
13
Lattice="5.252 0.000 0.030 0.000 6.291 0.000 -2.067 -3.145 5.470" Properties=species:S:1:pos:R:3 pbc="T T T"
Na 0.649 0.000 3.055
Na 2.536 3.145 2.446
Ta 2.626 0.000 0.015
Ta 0.000 1.681 0.000
Ta 0.000 4.610 0.000
O 4.545 3.145 1.160
O -1.360 0.000 4.340
O 4.353 0.000 1.094
O -1.168 3.145 4.407
O 1.552 1.769 4.404
O 1.552 -1.769 4.404
O 1.634 4.914 1.096
O 1.634 1.377 1.096
```

Space-group type: C2/m, No. 12

3.
Entry from Alexandria: a relaxed structure of Pm2CdSn6 (PBE-GGA).

The structure in extended XYZ format:
```
9
Lattice="-0.642 -4.272 -1.040 3.010 -4.513 7.221 -5.615 -3.017 6.399" Properties=species:S:1:pos:R:3 pbc="T T T"
Pm -1.084 -3.584 4.848
Pm -2.233 -8.691 7.617
Cd -0.358 -2.383 -0.580
Sn 0.472 -7.188 9.256
Sn -3.790 -5.086 3.209
Sn 1.217 -5.954 3.686
Sn -3.196 -5.871 6.086
Sn -0.121 -6.404 6.379
Sn -4.534 -6.320 8.779
```

Space-group type: Cm, No. 8
Energy of formation: -0.189 eV/atom

4.
Entry from Alexandria: a relaxed structure of Ti7CrPt2 (PBE-GGA).

The structure in extended XYZ format:
```
10
Lattice="-3.478 1.167 -5.104 -1.023 -4.551 -4.214 -5.722 -2.543 -0.553" Properties=species:S:1:pos:R:3 pbc="T T T"
Ti -5.112 -2.963 -4.936
Ti -5.942 -5.063 -4.850
Ti -3.033 -3.770 -4.569
Ti -7.190 -2.156 -5.302
Ti -4.801 -3.177 -7.164
Ti -5.422 -2.750 -2.707
Ti -4.281 -0.863 -5.021
Cr 0.000 0.000 0.000
Pt -2.556 -1.482 -2.468
Pt -7.668 -4.445 -7.403
```

Space-group type: Fm-3m, No. 225
Energy of formation: 0.511 eV/atom

5.
Entry from Alexandria: a relaxed structure of SiBiP2 (PBE-GGA).

The structure in extended XYZ format:
```
4
Lattice="0.000 3.377 3.377 3.377 0.000 3.377 3.377 3.377 0.000" Properties=species:S:1:pos:R:3 pbc="T T T"
P 1.689 1.689 1.689
P 5.066 5.066 5.066
Si 0.000 0.000 0.000
Bi 3.377 3.377 3.377
```

Space-group type: Fm-3m, No. 225
Excess energy over the best structure of this formula in the dataset: 507 meV per atom

6.
Entry from Alexandria: a relaxed structure of Cr2AgCl (PBE-GGA).

The structure in extended XYZ format:
```
4
Lattice="-0.619 -0.050 4.277 -3.166 2.362 1.753 -3.484 -1.947 1.656" Properties=species:S:1:pos:R:3 pbc="T T T"
Cr -1.817 0.091 1.921
Cr -5.452 0.273 5.764
Ag -3.635 0.182 3.843
Cl 0.000 0.000 0.000
```

Space-group type: Fm-3m, No. 225
Excess energy over the best structure of this formula in the dataset: 995 meV per atom

7.
Entry from Alexandria: a relaxed structure of Cr2FeHRu (PBE-GGA).

The structure in extended XYZ format:
```
5
Lattice="3.714 0.000 0.000 0.000 3.714 0.000 0.000 0.000 3.590" Properties=species:S:1:pos:R:3 pbc="T T T"
Ru 1.857 1.857 1.795
Fe 0.000 0.000 1.795
H 0.000 0.000 0.000
Cr 0.000 1.857 0.000
Cr 1.857 0.000 0.000
```

Space-group type: P4/mmm, No. 123
Excess energy over the best structure of this formula in the dataset: 0 meV per atom

8.
Entry from Alexandria: a relaxed structure of BaLaRe2 (PBE-GGA).

The structure in extended XYZ format:
```
4
Lattice="5.410 0.000 0.000 0.000 4.102 0.000 0.000 0.000 4.102" Properties=species:S:1:pos:R:3 pbc="T T T"
Re 0.000 0.000 0.000
Re 0.000 2.051 2.051
Ba 2.705 2.051 0.000
La 2.705 0.000 2.051
```

Space-group type: P4/mmm, No. 123
Energy of formation: 1.330 eV/atom
Excess energy over the best structure of this formula in the dataset: 1077 meV per atom

| no. | E (eV for the cell shown) |
| --- | --- |
| 1 | -64.21 |
| 2 | -111.05 |
| 3 | -36.14 |
| 4 | -71.86 |
| 5 | -17.51 |
| 6 | -19.28 |
| 7 | -39.98 |
| 8 | -26.43 |